{"formula": "CrW2O8", "functional": "GGA+U", "state": "optimized geometry", "lattice": [[4.9667, 0.0133, 0.0603], [-1.2974, 4.9794, -0.0925], [-0.1717, -2.4118, 6.6272]], "species": ["Cr", "W", "W", "O", "O", "O", "O", "O", "O", "O", "O"], "frac_coords": [[0.5000, 0.0000, 0.0000], [0.2400, 0.5274, 0.1751], [0.7600, 0.4726, 0.8249], [0.1618, 0.7282, 0.4079], [0.3801, 0.2567, 0.2313], [0.1304, 0.7152, 0.9705], [0.4073, 0.2249, 0.8563], [0.6199, 0.7433, 0.7687], [0.8382, 0.2718, 0.5921], [0.8696, 0.2848, 0.0295], [0.5927, 0.7751, 0.1437]], "total_magnetization_mub_per_cell": 1.94, "de_polymorph_mev_per_atom": 14, "energy_ev_per_cell": -80.52}